An optimized crystal structure of Ti3CoO. Source: Alexandria via LeMat-Bulk, functional PBE+U.

The calculation puts the electronic total energy at -6.1173 eV per atom. For the density, the calculation gives 4.18 g/cm3.

The structure belongs to space group Pm-3m (No. 221); the cell edges are 4.427, 4.427 and 4.427 Å and the angles 90.00°, 90.00° and 90.00°. Symmetry generates all atoms from Ti at (0.000, 0.000, 0.500), Co at (0.000, 0.000, 0.000) and O at (0.500, 0.500, 0.500).